No. 1
First-principles (PBE) data for a geometry-optimized NaAuNO2 structure, as listed in the Alexandria database.

The space group is P4/mmm. The calculation puts the volume at 69.82 Å³/cell. The uncorrected formation energy is 0.5936 eV per atom.

Unit cell a=4.294 b=4.294 c=3.787 alpha=90.00 beta=90.00 gamma=90.00
Site moments in Bohr magnetons follow the coordinates.
Sites, in units of the cell vectors:
O 0.500 0.000 0.000  -0.16
O 0.000 0.500 0.000  -0.16
Au 0.000 0.000 0.000  -0.02
N 0.000 0.000 0.500  -0.07
Na 0.500 0.500 0.500  0.00

No. 2
First-principles (PBE) data for a geometry-optimized NaAuNO2 structure, as listed in the Alexandria database.

The space group is P4/mmm. The calculation puts the volume at 72.07 Å³/cell. The uncorrected formation energy is 1.7342 eV per atom.

Unit cell a=4.108 b=4.108 c=4.271 alpha=90.00 beta=90.00 gamma=90.00
Site moments in Bohr magnetons follow the coordinates.
Sites, in units of the cell vectors:
N 0.000 0.000 0.500  0.27
O 0.000 0.500 0.000  0.00
O 0.500 0.000 0.000  0.00
Na 0.000 0.000 0.000  -0.03
Au 0.500 0.500 0.500  0.22

No. 3
First-principles (PBE) data for a geometry-optimized NaPbAu2N structure, as listed in the Alexandria database.

The space group is P4/mmm. The calculation puts the volume at 134.35 Å³/cell. The uncorrected formation energy is 0.7976 eV per atom.

Unit cell a=5.526 b=4.400 c=5.526 alpha=90.00 beta=90.00 gamma=90.00
Site moments in Bohr magnetons follow the coordinates.
Sites, in units of the cell vectors:
Au 0.000 0.000 0.500  0.05
Au 0.500 0.000 0.000  0.04
Na 0.500 0.500 0.500  0.00
Pb 0.000 0.000 0.000  -0.02
N 0.000 0.500 0.000  0.58

No. 4
First-principles (PBE) data for a geometry-optimized Na2PtAuN structure, as listed in the Alexandria database.

The space group is P4/mmm. The calculation puts the volume at 98.43 Å³/cell. The uncorrected formation energy is -0.1288 eV per atom.

Unit cell a=5.151 b=5.151 c=3.710 alpha=90.00 beta=90.00 gamma=90.00
Sites, in units of the cell vectors:
Pt 0.000 0.000 0.500
Na 0.000 0.500 0.000
Na 0.500 0.000 0.000
Au 0.500 0.500 0.500
N 0.000 0.000 0.000

No. 5
First-principles (PBE) data for a geometry-optimized NaRh2AuN structure, as listed in the Alexandria database.

The space group is P4/mmm. The calculation puts the volume at 73.97 Å³/cell. The uncorrected formation energy is 0.0578 eV per atom.

Unit cell a=3.980 b=3.980 c=4.670 alpha=90.00 beta=90.00 gamma=90.00
Sites, in units of the cell vectors:
Rh 0.500 0.000 0.000
Rh 0.000 0.500 0.000
N 0.000 0.000 0.000
Na 0.000 0.000 0.500
Au 0.500 0.500 0.500

No. 6
First-principles (PBE) data for a geometry-optimized Na2RhAuN structure, as listed in the Alexandria database.

The space group is P4/mmm. The calculation puts the volume at 90.30 Å³/cell. The uncorrected formation energy is -0.0378 eV per atom.

Unit cell a=4.924 b=4.924 c=3.725 alpha=90.00 beta=90.00 gamma=90.00
Sites, in units of the cell vectors:
Rh 0.000 0.000 0.500
N 0.000 0.000 0.000
Au 0.500 0.500 0.500
Na 0.000 0.500 0.000
Na 0.500 0.000 0.000

no.,E_tot (eV/atom)
1,-3.974
2,-2.833
3,-3.184
4,-4.185
5,-5.467
6,-4.356